Entry 1:
# Rb3BCl6

A relaxed structure of Rb3BCl6 (GGA-PBE, Alexandria).

Calculated values
Crystal system: orthorhombic
Total DFT energy (no corrections) in eV per atom: -3.5933
Energy relative to the elements, uncorrected in eV per formula unit: -15.27

Lattice parameters (Å, degrees): 7.9602 9.9304 9.9304 94.18 90.00 90.00
Last column: magnetic moment on the atom in μB.
Positions (direct):
Rb (0.4582, 0.8986, 0.6892)  0.00
Rb (0.9582, 0.6892, 0.8986)  0.00
Rb (0.3673, 0.4368, 0.5632)  0.00
Rb (0.8673, 0.5632, 0.4368)  0.00
Rb (0.9582, 0.1014, 0.3108)  0.00
Rb (0.4582, 0.3108, 0.1014)  0.00
B (0.0767, 0.1858, 0.8142)  0.00
B (0.5767, 0.8142, 0.1858)  0.00
Cl (0.1505, 0.7106, 0.6261)  0.06
Cl (0.6505, 0.6261, 0.7106)  0.06
Cl (0.1510, 0.3623, 0.8624)  0.00
Cl (0.6510, 0.8624, 0.3623)  0.00
Cl (0.1759, 0.0686, 0.9314)  0.00
Cl (0.8460, 0.1764, 0.8236)  0.00
Cl (0.3460, 0.8236, 0.1764)  0.00
Cl (0.6759, 0.9314, 0.0686)  0.00
Cl (0.1510, 0.1376, 0.6377)  0.00
Cl (0.6510, 0.6377, 0.1376)  0.00
Cl (0.1505, 0.3739, 0.2894)  0.06
Cl (0.6505, 0.2894, 0.3739)  0.06

=====

Entry 2:
# Rb3BCl6

A relaxed structure of Rb3BCl6 (GGA-PBE, Alexandria).

Calculated values
Crystal system: tetragonal
Total DFT energy (no corrections) in eV per atom: -3.2660
Energy relative to the elements, uncorrected in eV per formula unit: -12.00

Lattice parameters (Å, degrees): 7.2993 7.2993 7.5604 61.14 61.14 90.00
Positions (direct):
B (0.5000, 0.5000, 0.0000)
Rb (0.7500, 0.2500, 0.5000)
Rb (0.2500, 0.7500, 0.5000)
Rb (0.0000, 0.0000, 0.0000)
Cl (0.2812, 0.2812, 0.4375)
Cl (0.7188, 0.7188, 0.5625)
Cl (0.2997, 0.2997, 0.0000)
Cl (0.7003, 0.7003, 0.0000)
Cl (0.7003, 0.2997, 0.0000)
Cl (0.2997, 0.7003, 0.0000)

=====

Entry 3:
# RbBCl2

A relaxed structure of RbBCl2 (GGA-PBE, Alexandria).

Calculated values
Crystal system: cubic
Total DFT energy (no corrections) in eV per atom: -2.7673
Energy relative to the elements, uncorrected in eV per formula unit: 0.27

Lattice parameters (Å, degrees): 5.2337 5.2337 5.2337 60.00 60.00 60.00
Positions (direct):
B (0.0000, 0.0000, 0.0000)
Rb (0.5000, 0.5000, 0.5000)
Cl (0.2500, 0.2500, 0.2500)
Cl (0.7500, 0.7500, 0.7500)

=====

Entry 4:
# RbBS2Cl

A relaxed structure of RbBS2Cl (GGA-PBE, Alexandria).

Calculated values
Crystal system: tetragonal
Total DFT energy (no corrections) in eV per atom: -3.5969
Energy relative to the elements, uncorrected in eV per formula unit: -0.24

Lattice parameters (Å, degrees): 4.1674 4.1674 6.8660 90.00 90.00 90.00
Last column: magnetic moment on the atom in μB.
Positions (direct):
S (0.0000, 0.5000, 0.0000)  0.13
S (0.5000, 0.0000, 0.0000)  0.13
B (0.0000, 0.0000, 0.0000)  0.03
Rb (0.5000, 0.5000, 0.5000)  0.00
Cl (0.0000, 0.0000, 0.5000)  0.00

=====

Entry 5:
# RbBS2Cl

A relaxed structure of RbBS2Cl (GGA-PBE, Alexandria).

Calculated values
Crystal system: tetragonal
Total DFT energy (no corrections) in eV per atom: -1.9625
Energy relative to the elements, uncorrected in eV per formula unit: 7.93

Lattice parameters (Å, degrees): 6.2417 6.2417 6.0811 90.00 90.00 90.00
Last column: magnetic moment on the atom in μB.
Positions (direct):
S (0.0000, 0.5000, 0.0000)  0.93
S (0.5000, 0.0000, 0.0000)  0.93
B (0.5000, 0.5000, 0.5000)  -0.18
Rb (0.0000, 0.0000, 0.0000)  0.02
Cl (0.0000, 0.0000, 0.5000)  0.14

=====

Entry 6:
# Rb2BSbCl6

A relaxed structure of Rb2BSbCl6 (GGA-PBE, Alexandria).

Calculated values
Crystal system: tetragonal
Total DFT energy (no corrections) in eV per atom: -3.2574
Energy relative to the elements, uncorrected in eV per formula unit: -8.76

Lattice parameters (Å, degrees): 7.3536 7.3536 7.3472 59.97 59.97 90.00
Positions (direct):
Sb (0.0000, 0.0000, 0.0000)
B (0.5000, 0.5000, 0.0000)
Rb (0.7500, 0.2500, 0.5000)
Rb (0.2500, 0.7500, 0.5000)
Cl (0.2572, 0.2572, 0.4856)
Cl (0.7428, 0.7428, 0.5144)
Cl (0.2567, 0.2567, 0.0000)
Cl (0.7433, 0.7433, 0.0000)
Cl (0.7433, 0.2567, 0.0000)
Cl (0.2567, 0.7433, 0.0000)

=====

Entry 7:
# RbBSb2Cl

A relaxed structure of RbBSb2Cl (GGA-PBE, Alexandria).

Calculated values
Crystal system: tetragonal
Total DFT energy (no corrections) in eV per atom: -1.8860
Energy relative to the elements, uncorrected in eV per formula unit: 8.31

Lattice parameters (Å, degrees): 7.5274 5.9995 7.5274 90.00 90.00 90.00
Last column: magnetic moment on the atom in μB.
Positions (direct):
Sb (0.0000, 0.0000, 0.5000)  1.01
Sb (0.5000, 0.0000, 0.0000)  1.01
B (0.5000, 0.5000, 0.5000)  -0.30
Rb (0.0000, 0.0000, 0.0000)  0.04
Cl (0.0000, 0.5000, 0.0000)  0.07

=====

Entry 8:
# Rb2ScBCl6

A relaxed structure of Rb2ScBCl6 (GGA-PBE, Alexandria).

Calculated values
Crystal system: cubic
Total DFT energy (no corrections) in eV per atom: -3.9551
Energy relative to the elements, uncorrected in eV per formula unit: -13.53

Lattice parameters (Å, degrees): 7.2734 7.2734 7.2777 60.02 60.02 90.00
Positions (direct):
Sc (0.0000, 0.0000, 0.0000)
B (0.5000, 0.5000, 0.0000)
Rb (0.7500, 0.2500, 0.5000)
Rb (0.2500, 0.7500, 0.5000)
Cl (0.2434, 0.2434, 0.5133)
Cl (0.7566, 0.7566, 0.4867)
Cl (0.2437, 0.2437, 0.0000)
Cl (0.7563, 0.7563, 0.0000)
Cl (0.7563, 0.2437, 0.0000)
Cl (0.2437, 0.7563, 0.0000)

=====

Entry 9:
# RbSiB2Cl

A relaxed structure of RbSiB2Cl (GGA-PBE, Alexandria).

Calculated values
Crystal system: tetragonal
Total DFT energy (no corrections) in eV per atom: -1.8120
Energy relative to the elements, uncorrected in eV per formula unit: 12.53

Lattice parameters (Å, degrees): 5.2504 5.6527 5.2504 90.00 90.00 90.00
Positions (direct):
Si (0.5000, 0.5000, 0.5000)
B (0.0000, 0.0000, 0.5000)
B (0.5000, 0.0000, 0.0000)
Rb (0.0000, 0.0000, 0.0000)
Cl (0.0000, 0.5000, 0.0000)

=====

Entry 10:
# Rb2SnBCl6

A relaxed structure of Rb2SnBCl6 (GGA-PBE, Alexandria).

Calculated values
Crystal system: tetragonal
Total DFT energy (no corrections) in eV per atom: -3.3138
Energy relative to the elements, uncorrected in eV per formula unit: -9.44

Lattice parameters (Å, degrees): 7.4563 7.4563 7.1991 58.81 58.81 90.00
Positions (direct):
B (0.5000, 0.5000, 0.0000)
Sn (0.0000, 0.0000, 0.0000)
Rb (0.7500, 0.2500, 0.5000)
Rb (0.2500, 0.7500, 0.5000)
Cl (0.2907, 0.2907, 0.4187)
Cl (0.7093, 0.7093, 0.5813)
Cl (0.2637, 0.2637, 0.0000)
Cl (0.7363, 0.7363, 0.0000)
Cl (0.7363, 0.2637, 0.0000)
Cl (0.2637, 0.7363, 0.0000)

=====

Entry 11:
# RbSnB2Cl8

A relaxed structure of RbSnB2Cl8 (GGA-PBE, Alexandria).

Calculated values
Crystal system: trigonal
Total DFT energy (no corrections) in eV per atom: -3.7138
Energy relative to the elements, uncorrected in eV per formula unit: -11.47

Lattice parameters (Å, degrees): 6.2834 6.2834 10.8850 73.22 73.22 60.00
Last column: magnetic moment on the atom in μB.
Positions (direct):
Rb (0.5000, 0.5000, 0.5000)  0.00
Sn (0.0000, 0.0000, 0.0000)  0.41
B (0.2431, 0.2431, 0.2706)  0.01
B (0.7569, 0.7569, 0.7294)  0.01
Cl (0.1827, 0.1827, 0.4518)  0.00
Cl (0.5261, 0.2960, 0.2109)  0.01
Cl (0.8173, 0.8173, 0.5482)  0.00
Cl (0.9671, 0.5261, 0.2109)  0.01
Cl (0.0329, 0.4739, 0.7891)  0.01
Cl (0.2960, 0.9671, 0.2109)  0.01
Cl (0.7040, 0.0329, 0.7891)  0.01
Cl (0.4739, 0.7040, 0.7891)  0.01

=====

Entry 12:
# Rb2TaBCl6

A relaxed structure of Rb2TaBCl6 (GGA-PBE, Alexandria).

Calculated values
Crystal system: tetragonal
Total DFT energy (no corrections) in eV per atom: -4.0432
Energy relative to the elements, uncorrected in eV per formula unit: -8.89

Lattice parameters (Å, degrees): 7.1317 7.1317 7.5074 61.64 61.64 90.00
Last column: magnetic moment on the atom in μB.
Positions (direct):
B (0.5000, 0.5000, 0.0000)  0.15
Cl (0.2216, 0.2216, 0.5567)  0.01
Cl (0.7784, 0.7784, 0.4433)  0.01
Cl (0.2437, 0.2437, 0.0000)  0.00
Cl (0.7563, 0.7563, 0.0000)  0.00
Cl (0.7563, 0.2437, 0.0000)  0.00
Cl (0.2437, 0.7563, 0.0000)  0.00
Rb (0.7500, 0.2500, 0.5000)  0.00
Rb (0.2500, 0.7500, 0.5000)  0.00
Ta (0.0000, 0.0000, 0.0000)  1.13